1.
Here is crystalline Y2ZrAg6 at its relaxed geometry from Alexandria via LeMat-Bulk. Energies are from PBE-GGA.

```
18
Lattice="6.9092 -5.4433 0.0000 6.9092 5.4433 0.0000 -0.9326 0.0000 5.1391" Properties=species:S:1:pos:R:3 pbc="T T T"
Y 2.2184 1.3467 0.4318
Y 1.7521 -1.3467 3.0014
Y 11.1337 1.3467 2.1377
Y 10.6674 -1.3467 4.7073
Zr 6.2097 1.3160 3.8543
Zr 6.6760 -1.3160 1.2848
Ag 5.6759 3.9389 2.4323
Ag 3.3241 1.3691 3.2897
Ag 7.6761 3.9389 0.1373
Ag 5.2450 1.3105 1.0035
Ag 3.7904 -1.3691 0.7201
Ag 8.1070 1.3105 1.5660
Ag 4.7787 -1.3105 3.5731
Ag 9.0954 1.3691 4.4190
Ag 7.6407 -1.3105 4.1356
Ag 5.2096 -3.9389 5.0019
Ag 9.5617 -1.3691 1.8494
Ag 7.2098 -3.9389 2.7068
```

ΔH_f (0 K): -0.112 eV per atom
Crystal system: monoclinic
Fermi-level density of states: 13.8 states/eV/cell

***

2.
Here is crystalline CaSm2Tm at its relaxed geometry from Alexandria via LeMat-Bulk. Energies are from PBE-GGA.

```
4
Lattice="5.1936 0.0000 0.0000 0.0000 5.1936 0.0000 0.0000 0.0000 5.0193" Properties=species:S:1:pos:R:3 pbc="T T T"
Ca 0.0000 0.0000 0.0000
Sm 0.0000 2.5968 2.5097
Sm 2.5968 0.0000 2.5097
Tm 2.5968 2.5968 0.0000
```

ΔH_f (0 K): 0.115 eV per atom
Crystal system: tetragonal
Fermi-level density of states: 6.0 states/eV/cell

***

3.
Here is crystalline Tm6CdPd12 at its relaxed geometry from Alexandria via LeMat-Bulk. Energies are from PBE-GGA.

```
19
Lattice="5.4026 3.1192 3.6639 -5.4026 3.1192 3.6639 0.0000 -6.2384 3.6639" Properties=species:S:1:pos:R:3 pbc="T T T"
Tm -0.8159 -3.0307 4.6515
Tm -3.0326 -0.8088 6.3402
Tm -2.2168 2.2219 4.6515
Tm 2.2168 -2.2219 6.3402
Tm 3.0326 0.8088 4.6515
Tm 0.8159 3.0307 6.3402
Cd 0.0000 0.0000 5.4959
Pd -3.8378 -3.7190 6.1162
Pd -5.1396 1.4641 4.8755
Pd -1.7630 -0.5830 3.5617
Pd 1.3018 -5.1831 4.8755
Pd 1.3864 -1.2353 3.5617
Pd 0.3766 1.8183 3.5617
Pd -0.3766 -1.8183 7.4300
Pd -1.3864 1.2353 7.4300
Pd -1.3018 5.1831 6.1162
Pd 1.7630 0.5830 7.4300
Pd 5.1396 -1.4641 6.1162
Pd 3.8378 3.7190 4.8755
```

ΔH_f (0 K): -0.742 eV per atom
Crystal system: trigonal
Fermi-level density of states: 9.2 states/eV/cell

***

4.
Here is crystalline ZrMnAs2Br at its relaxed geometry from Alexandria via LeMat-Bulk. Energies are from PBE-GGA.

```
5
Lattice="4.7181 0.0000 0.0000 0.0000 4.7181 0.0000 0.0000 0.0000 4.8859" Properties=species:S:1:pos:R:3 pbc="T T T"
Zr 0.0000 0.0000 0.0000
Mn 2.3591 2.3591 2.4430
As 0.0000 2.3591 2.4430
As 2.3591 0.0000 2.4430
Br 2.3591 2.3591 0.0000
```

Formation energy (no corrections): 1.2 eV per formula unit
Crystal system: tetragonal
Fermi-level density of states: 4.2 states/eV/cell

***

5.
Here is crystalline In4RuBr at its relaxed geometry from Alexandria via LeMat-Bulk. Energies are from PBE-GGA.

```
6
Lattice="0.0000 4.2337 4.2337 4.2337 0.0000 4.2337 4.2337 4.2337 0.0000" Properties=species:S:1:pos:R:3 pbc="T T T"
In 1.0525 1.0525 1.0525
In 3.1812 3.1812 1.0525
In 3.1812 1.0525 3.1812
In 1.0525 3.1812 3.1812
Ru 6.3505 6.3505 6.3505
Br 4.2337 4.2337 4.2337
```

Formation energy (no corrections): 3.4 eV per formula unit
Crystal system: cubic
Fermi-level density of states: 5.3 states/eV/cell

***

6.
Here is crystalline TeAs2S5 at its relaxed geometry from Alexandria via LeMat-Bulk. Energies are from PBE-GGA.

```
16
Lattice="2.5913 -6.6562 0.0000 2.5913 6.6562 0.0000 0.0000 0.0000 12.8609" Properties=species:S:1:pos:R:3 pbc="T T T"
Te 2.5913 4.0642 9.6457
Te 2.5913 -4.0642 3.2152
As 2.5913 4.4678 0.4091
As 2.5913 4.4678 6.0214
As 2.5913 -4.4678 6.8396
As 2.5913 -4.4678 12.4518
S 2.5913 5.8345 7.9349
S 2.5913 5.8345 11.3565
S 2.5913 3.2428 3.2152
S 2.5913 2.4416 7.0830
S 2.5913 2.4416 12.2084
S 2.5913 -2.4416 0.6525
S 2.5913 -2.4416 5.7780
S 2.5913 -3.2428 9.6457
S 2.5913 -5.8345 1.5044
S 2.5913 -5.8345 4.9261
```

Formation energy (no corrections): 0.3 eV per formula unit
Crystal system: orthorhombic

***

7.
Here is crystalline TiTe2PtN at its relaxed geometry from Alexandria via LeMat-Bulk. Energies are from PBE-GGA.

```
5
Lattice="5.5438 0.0000 0.0000 0.0000 5.5438 0.0000 0.0000 0.0000 3.6895" Properties=species:S:1:pos:R:3 pbc="T T T"
Ti 0.0000 0.0000 0.0000
Te 0.0000 2.7719 1.8447
Te 2.7719 0.0000 1.8447
Pt 2.7719 2.7719 1.8447
N 2.7719 2.7719 0.0000
```

Formation energy (no corrections): 2.2 eV per formula unit
Crystal system: tetragonal
Fermi-level density of states: 4.5 states/eV/cell

***

8.
Here is crystalline MnTl2Br at its relaxed geometry from Alexandria via LeMat-Bulk. Energies are from PBE-GGA.

```
4
Lattice="-2.3129 2.3129 5.1260 2.3129 -2.3129 5.1260 2.3129 2.3129 -5.1260" Properties=species:S:1:pos:R:3 pbc="T T T"
Mn 0.0000 0.0000 0.0000
Tl 2.3129 0.0000 2.5630
Tl 0.0000 2.3129 2.5630
Br 0.0000 0.0000 5.1260
```

Formation energy (no corrections): 1.0 eV per formula unit
Crystal system: tetragonal
Fermi-level density of states: 2.9 states/eV/cell

***

9.
Here is crystalline Hf3TaMn4 at its relaxed geometry from Alexandria via LeMat-Bulk. Energies are from PBE-GGA.

```
8
Lattice="3.1327 0.0000 0.0000 0.0000 3.1327 0.0000 0.0000 0.0000 12.5929" Properties=species:S:1:pos:R:3 pbc="T T T"
Hf 0.0000 0.0000 0.0000
Hf 0.0000 0.0000 3.1883
Hf 0.0000 0.0000 9.4046
Ta 0.0000 0.0000 6.2965
Mn 1.5664 1.5664 1.5981
Mn 1.5664 1.5664 4.8176
Mn 1.5664 1.5664 7.7754
Mn 1.5664 1.5664 10.9948
```

ΔH_f (0 K): -0.163 eV per atom
Crystal system: tetragonal
Fermi-level density of states: 8.5 states/eV/cell

***

10.
Here is crystalline RbInRhN2 at its relaxed geometry from Alexandria via LeMat-Bulk. Energies are from PBE-GGA.

```
5
Lattice="4.3119 0.0000 0.0000 0.0000 4.3119 0.0000 0.0000 0.0000 5.1784" Properties=species:S:1:pos:R:3 pbc="T T T"
Rb 0.0000 0.0000 0.0000
In 2.1559 2.1559 0.0000
Rh 2.1559 2.1559 2.5892
N 0.0000 2.1559 2.5892
N 2.1559 0.0000 2.5892
```

Formation energy (no corrections): 5.8 eV per formula unit
Crystal system: tetragonal
Fermi-level density of states: 2.8 states/eV/cell

***

11.
Here is crystalline OsW2 at its relaxed geometry from Alexandria via LeMat-Bulk. Energies are from PBE-GGA.

```
12
Lattice="5.4960 0.0000 0.0000 0.0000 4.2439 0.0000 0.0000 0.0000 8.0819" Properties=species:S:1:pos:R:3 pbc="T T T"
Os 0.8471 1.0610 0.5611
Os 1.9009 3.1829 4.6021
Os 3.5951 1.0610 3.4799
Os 4.6488 3.1829 7.5208
W 0.2605 1.0610 5.9839
W 0.8996 1.0610 3.2952
W 1.8484 3.1829 7.3362
W 2.4875 3.1829 1.9429
W 3.0084 1.0610 6.1390
W 3.6476 1.0610 0.7458
W 4.5963 3.1829 4.7867
W 5.2355 3.1829 2.0981
```

ΔH_f (0 K): 0.184 eV per atom
Crystal system: orthorhombic
Fermi-level density of states: 9.2 states/eV/cell

***

12.
Here is crystalline Sc3TcO at its relaxed geometry from Alexandria via LeMat-Bulk. Energies are from PBE-GGA.

```
10
Lattice="3.4592 0.0000 0.0000 -1.7296 2.9957 0.0000 0.0000 0.0000 17.7952" Properties=species:S:1:pos:R:3 pbc="T T T"
Sc 0.0000 0.0000 4.4488
Sc 0.0000 0.0000 13.3464
Sc 0.0000 1.9972 1.8016
Sc 0.0000 1.9972 7.0960
Sc 1.7296 0.9986 10.6992
Sc 1.7296 0.9986 15.9937
Tc 0.0000 0.0000 0.0000
Tc 0.0000 0.0000 8.8976
O 0.0000 1.9972 4.4488
O 1.7296 0.9986 13.3464
```

Formation energy (no corrections): -5.4 eV per formula unit
Crystal system: hexagonal
Fermi-level density of states: 7.5 states/eV/cell

***

13.
Here is crystalline NiHCl at its relaxed geometry from Alexandria via LeMat-Bulk. Energies are from PBE-GGA.

```
6
Lattice="-2.4743 3.2383 2.4937 2.4743 -3.2383 2.4937 2.4743 3.2383 -2.4937" Properties=species:S:1:pos:R:3 pbc="T T T"
Ni -1.2372 1.6192 1.2468
Ni 1.2372 1.6192 1.2468
H 0.0000 1.6192 0.2239
H 2.4743 1.6192 2.2698
Cl 2.4743 0.0000 0.0000
Cl 0.0000 0.0000 2.4937
```

Crystal system: orthorhombic
Fermi-level density of states: 3.0 states/eV/cell

***

14.
Here is crystalline NdDy4Er10 at its relaxed geometry from Alexandria via LeMat-Bulk. Energies are from PBE-GGA.

```
15
Lattice="-4.8686 4.8686 5.3587 4.8686 -4.8686 5.3587 4.8686 4.8686 -5.3587" Properties=species:S:1:pos:R:3 pbc="T T T"
Nd 0.0000 0.0000 0.0000
Dy 5.3994 2.0404 0.0000
Dy 2.0404 4.3379 0.0000
Dy 2.8283 0.5307 5.3587
Dy -0.5307 2.8283 5.3587
Er 7.5993 -1.1872 1.8115
Er 3.6815 -2.7307 3.5472
Er 4.8686 0.0000 2.6793
Er 2.1380 1.1872 1.8115
Er -1.1872 2.1380 1.8115
Er 6.0558 2.7307 3.5472
Er 2.7307 3.6815 3.5472
Er 0.0000 4.8686 2.6793
Er 1.1872 7.5993 1.8115
Er -2.7307 6.0558 3.5472
```

ΔH_f (0 K): 0.483 eV per atom
Crystal system: tetragonal
Fermi-level density of states: 28.5 states/eV/cell

***

15.
Here is crystalline Y2AgOs at its relaxed geometry from Alexandria via LeMat-Bulk. Energies are from PBE-GGA.

```
4
Lattice="-1.7226 2.4217 5.4173 1.7226 -2.4217 5.4173 1.7226 2.4217 -5.4173" Properties=species:S:1:pos:R:3 pbc="T T T"
Y 0.0000 0.0000 0.0000
Y 0.0000 2.4217 2.2075
Ag 1.7226 0.0000 3.0630
Os 0.0000 0.0000 5.3056
```

ΔH_f (0 K): -0.033 eV per atom
Crystal system: orthorhombic
Fermi-level density of states: 2.9 states/eV/cell

***

16.
Here is crystalline Ca2MgN at its relaxed geometry from Alexandria via LeMat-Bulk. Energies are from PBE-GGA.

```
8
Lattice="-3.6196 3.6196 4.3303 3.6196 -3.6196 4.3303 3.6196 3.6196 -4.3303" Properties=species:S:1:pos:R:3 pbc="T T T"
Ca 0.8296 1.8098 1.0826
Ca -1.8098 2.7900 3.2477
Ca -0.8296 5.4294 1.0826
Ca 1.8098 4.4493 3.2477
Mg 3.6196 0.0000 2.1651
Mg 0.0000 0.0000 4.3303
N 0.0000 0.0000 0.0000
N 0.0000 3.6196 2.1651
```

Formation energy (no corrections): -1.0 eV per formula unit
Crystal system: tetragonal
Fermi-level density of states: 6.2 states/eV/cell

***

17.
Here is crystalline ReAg at its relaxed geometry from Alexandria via LeMat-Bulk. Energies are from PBE-GGA.

```
8
Lattice="4.8724 0.0000 0.0000 0.0000 4.5709 0.0000 0.0000 0.0000 5.7031" Properties=species:S:1:pos:R:3 pbc="T T T"
Re 0.3125 1.1427 0.6948
Re 2.1237 3.4281 3.5463
Re 2.7487 1.1427 2.1568
Re 4.5599 3.4281 5.0083
Ag 0.3989 1.1427 3.5536
Ag 2.0373 3.4281 0.7021
Ag 2.8352 1.1427 5.0010
Ag 4.4735 3.4281 2.1495
```

ΔH_f (0 K): 0.729 eV per atom
Crystal system: orthorhombic
Fermi-level density of states: 3.8 states/eV/cell

***

18.
Here is crystalline Ba3SnAu at its relaxed geometry from Alexandria via LeMat-Bulk. Energies are from PBE-GGA.

```
10
Lattice="8.3869 0.0000 0.0000 0.0000 5.8823 0.0000 -2.2111 0.0000 8.6001" Properties=species:S:1:pos:R:3 pbc="T T T"
Ba 0.0000 0.0000 0.0000
Ba -1.2124 2.9412 5.5060
Ba 1.3558 0.0000 3.4891
Ba 3.6387 2.9412 1.3813
Ba 2.6523 0.0000 7.1907
Ba 5.4612 0.0000 3.5867
Sn 3.3494 2.9412 5.0424
Sn 7.3439 2.9412 1.8646
Au -0.3854 0.0000 6.0574
Au 4.3504 2.9412 7.7259
```

ΔH_f (0 K): -0.479 eV per atom
Crystal system: monoclinic
Fermi-level density of states: 8.0 states/eV/cell

***

19.
Here is crystalline BaCeCdPb at its relaxed geometry from Alexandria via LeMat-Bulk. Energies are from PBE-GGA.

```
4
Lattice="0.0000 4.0922 4.0922 4.0922 0.0000 4.0922 4.0922 4.0922 0.0000" Properties=species:S:1:pos:R:3 pbc="T T T"
Ba 0.0000 0.0000 0.0000
Ce 4.0922 4.0922 4.0922
Cd 2.0461 2.0461 2.0461
Pb 6.1383 6.1383 6.1383
```

ΔH_f (0 K): -0.256 eV per atom
Crystal system: cubic
Fermi-level density of states: 11.1 states/eV/cell

***

20.
Here is crystalline BaMgP2 at its relaxed geometry from Alexandria via LeMat-Bulk. Energies are from PBE-GGA.

```
4
Lattice="3.4389 -3.4537 0.0000 3.4389 3.4537 0.0000 0.0000 0.0000 4.1048" Properties=species:S:1:pos:R:3 pbc="T T T"
Ba 0.0000 0.0000 0.0000
Mg 3.4389 0.0000 0.0000
P 1.7195 1.7269 2.0524
P 1.7195 -1.7269 2.0524
```

ΔH_f (0 K): -0.200 eV per atom
Crystal system: orthorhombic
Fermi-level density of states: 1.9 states/eV/cell

***

Number 1: total DFT energy (no corrections) -4.399 eV/atom. Number 2: total DFT energy (no corrections) -3.863 eV/atom. Number 3: total DFT energy (no corrections) -5.481 eV/atom. Number 4: total DFT energy (no corrections) -5.493 eV/atom. Number 5: total DFT energy (no corrections) -3.084 eV/atom. Number 6: total DFT energy (no corrections) -4.100 eV/atom. Number 7: total DFT energy (no corrections) -5.273 eV/atom. Number 8: total DFT energy (no corrections) -3.655 eV/atom. Number 9: total DFT energy (no corrections) -9.962 eV/atom. Number 10: total DFT energy (no corrections) -4.388 eV/atom. Number 11: total DFT energy (no corrections) -12.195 eV/atom. Number 12: total DFT energy (no corrections) -7.939 eV/atom. Number 13: total DFT energy (no corrections) -3.737 eV/atom. Number 14: total DFT energy (no corrections) -4.104 eV/atom. Number 15: total DFT energy (no corrections) -6.786 eV/atom. Number 16: total DFT energy (no corrections) -3.722 eV/atom. Number 17: total DFT energy (no corrections) -6.920 eV/atom. Number 18: total DFT energy (no corrections) -3.089 eV/atom. Number 19: total DFT energy (no corrections) -3.376 eV/atom. Number 20: total DFT energy (no corrections) -3.784 eV/atom.